1.
The following is a PBE calculation of an optimized crystal structure of Zn4Pb3, from Alexandria.

abc: 6.6579 6.6579 4.7670
angles: 90.00 90.00 120.00
Closest atoms and distances in Å follow each position.
Space group P6/mmm (No. 191)
Symmetry-distinct sites (fractional):
1 Zn 0.0000 0.0000 0.2488 [2 per cell]  2 Zn 2.37-2.39
2 Zn 0.3333 0.6667 0.0000 [2 per cell]  6 Pb 3.06
3 Pb 0.0000 0.5000 0.5000 [3 per cell]  4 Zn 3.06, 4 Pb 3.33

Calculated values
ΔE to the lowest computed polymorph (meV per atom): 138.6
Mass density (g cm⁻³): 8.01
VASP energy (Ry per atom): -0.151
ΔE_f (eV/atom): 0.27
Magnetization (μB/f.u.): 0.0

***

2.
The following is a PBE calculation of an optimized crystal structure of ZnPb5, from Alexandria.

abc: 4.8631 14.6470 4.9578
angles: 90.00 90.00 90.00
Closest atoms and distances in Å follow each position.
Space group Cmmm (No. 65)
Symmetry-distinct sites (fractional):
1 Zn 0.0000 0.0000 0.0000 [2 per cell]  12 Pb 3.39-3.47
2 Pb 0.0000 0.1605 0.5000 [4 per cell]  10 Pb 3.38-3.60, 2 Zn 3.42
3 Pb 0.0000 0.3388 0.0000 [4 per cell]  2 Zn 3.39, 10 Pb 3.42-3.60
4 Pb 0.0000 0.5000 0.5000 [2 per cell]  8 Pb 3.38-3.42, 4 Zn 3.47

Calculated values
Mass density (g cm⁻³): 10.36
VASP energy (Ry per atom): -0.237
ΔE_f (eV/atom): 0.08
Magnetization (μB/f.u.): 0.0

***

3.
The following is a PBE calculation of an optimized crystal structure of ZnPb, from Alexandria.

abc: 3.5872 3.5872 4.5220
angles: 90.00 90.00 120.00
Closest atoms and distances in Å follow each position.
Space group P-6m2 (No. 187)
Symmetry-distinct sites (fractional):
1 Zn 0.0000 0.0000 0.0000 [1 per cell]  6 Pb 3.07
2 Pb 0.3333 0.6667 0.5000 [1 per cell]  6 Zn 3.07

Calculated values
Mass density (g cm⁻³): 8.98
VASP energy (Ry per atom): -0.168
ΔE_f (eV/atom): 0.20
Magnetization (μB/f.u.): 0.0

***

4.
The following is a PBE calculation of an optimized crystal structure of ZnPb5, from Alexandria.

abc: 6.4985 6.4985 5.6384
angles: 90.00 90.00 120.00
Closest atoms and distances in Å follow each position.
Space group P6/mmm (No. 191)
Symmetry-distinct sites (fractional):
1 Zn 0.0000 0.0000 0.0000 [1 per cell]  6 Pb 3.75
2 Pb 0.0000 0.5000 0.5000 [3 per cell]  8 Pb 3.25-3.39
3 Pb 0.3333 0.6667 0.0000 [2 per cell]  9 Pb 3.39-3.75, 3 Zn 3.75

Calculated values
Mass density (g cm⁻³): 8.87
VASP energy (Ry per atom): -0.223
ΔE_f (eV/atom): 0.27
Magnetization (μB/f.u.): 0.0

***

5.
The following is a PBE calculation of an optimized crystal structure of ZnPb3, from Alexandria.

abc: 11.5865 3.5332 5.9060
angles: 90.00 110.32 90.00
Closest atoms and distances in Å follow each position.
Space group C2/m (No. 12)
Symmetry-distinct sites (fractional):
1 Zn 0.0000 0.0000 0.0000 [2 per cell]  4 Pb 3.03
2 Pb 0.0000 0.5000 0.5000 [2 per cell]  4 Zn 3.44, 8 Pb 3.50-3.53
3 Pb 0.2231 0.5000 0.2251 [4 per cell]  2 Zn 3.03

Calculated values
Mass density (g cm⁻³): 10.06
VASP energy (Ry per atom): -0.219
ΔE_f (eV/atom): 0.12
Magnetization (μB/f.u.): 0.0

***

6.
The following is a PBE calculation of an optimized crystal structure of ZnPb, from Alexandria.

abc: 13.5781 3.4770 7.0685
angles: 90.00 118.02 90.00
Closest atoms and distances in Å follow each position.
Space group Cm (No. 8)
Symmetry-distinct sites (fractional):
1 Zn 0.0000 0.0000 0.0000 [2 per cell]  3 Zn 2.56-2.72
2 Zn 0.0617 0.0000 0.4027 [2 per cell]  3 Zn 2.56-2.78
3 Zn 0.3935 0.0000 0.1390 [2 per cell]  4 Zn 2.72-2.78
4 Pb 0.2110 0.5000 0.1991 [2 per cell]  4 Zn 3.07-3.21
5 Pb 0.2426 0.5000 0.7330 [2 per cell]  5 Zn 3.02-3.15
6 Pb 0.4540 0.0000 0.6219 [2 per cell]  5 Zn 3.00-3.11

Calculated values
Mass density (g cm⁻³): 9.22
VASP energy (Ry per atom): -0.174
ΔE_f (eV/atom): 0.12
Magnetization (μB/f.u.): 0.0

***

Among the records above, which one has the lowest mass density? Zn4Pb3

***

What is the formula in the third record? ZnPb